No. 1
A plane-wave DFT calculation with GGA-PBE was carried out for a relaxed structure of TbSm2Tm5.

Cell: 7.0621 14.1290 4.9864 Å, 90.00 90.00 90.00°
Last column: nearest neighbours and their distance in Å.
Fractional coordinates of all 16 atoms:
Tb1 0.0000 0.0000 0.0000  8 Tm 3.53-3.54, 4 Sm 3.54
Tb2 0.5000 0.5000 0.0000  8 Tm 3.53-3.54, 4 Sm 3.54
Sm1 0.2487 0.3746 0.5000  10 Tm 3.52-3.54, 2 Tb 3.54
Sm2 0.2513 0.8746 0.5000  10 Tm 3.52-3.54, 2 Tb 3.54
Sm3 0.7487 0.1254 0.5000  10 Tm 3.52-3.54, 2 Tb 3.54
Sm4 0.7513 0.6254 0.5000  10 Tm 3.52-3.54, 2 Tb 3.54
Tm1 0.0000 0.5000 0.0000  4 Sm 3.53, 6 Tm 3.53, 2 Tb 3.53
Tm2 0.0013 0.7497 0.0000  4 Sm 3.52-3.53, 7 Tm 3.52-3.53, 1 Tb 3.54
Tm3 0.2489 0.1252 0.5000  4 Sm 3.52-3.54, 6 Tm 3.52-3.53, 2 Tb 3.53
Tm4 0.2511 0.6252 0.5000  4 Sm 3.52-3.54, 6 Tm 3.52-3.53, 2 Tb 3.53
Tm5 0.4987 0.2497 0.0000  4 Sm 3.52-3.53, 7 Tm 3.52-3.53, 1 Tb 3.54
Tm6 0.5000 0.0000 0.0000  4 Sm 3.53, 6 Tm 3.53, 2 Tb 3.53
Tm7 0.5013 0.7503 0.0000  4 Sm 3.52-3.53, 7 Tm 3.52-3.53, 1 Tb 3.54
Tm8 0.7489 0.3748 0.5000  4 Sm 3.52-3.54, 6 Tm 3.52-3.53, 2 Tb 3.53
Tm9 0.7511 0.8748 0.5000  4 Sm 3.52-3.54, 6 Tm 3.52-3.53, 2 Tb 3.53
Tm10 0.9987 0.2503 0.0000  4 Sm 3.52-3.53, 7 Tm 3.52-3.53, 1 Tb 3.54

Summary:
ρ: 8706 kg/m3
Calculated formation energy: 0.0222 eV per atom
D(E_F): 10.22 states/eV/f.u.
Energy: -72.50 eV/cell
Total magnetization: 0.0 μB per formula unit

***

No. 2
A plane-wave DFT calculation with GGA-PBE was carried out for a relaxed structure of TbSm12Tm7.

Cell: 8.7631 8.7631 8.7631 Å, 86.55 86.55 86.55°
Last column: nearest neighbours and their distance in Å.
Fractional coordinates of all 20 atoms:
Tb1 0.0000 0.0000 0.0000  6 Tm 3.28
Sm1 0.1012 0.3459 0.4222  7 Sm 3.45-3.83, 3 Tm 3.50-3.72
Sm2 0.2270 0.7564 0.3505  5 Tm 3.23-3.61, 2 Sm 3.53-3.56
Sm3 0.2436 0.6495 0.7730  5 Tm 3.23-3.61, 2 Sm 3.53-3.56
Sm4 0.3459 0.4222 0.1012  7 Sm 3.45-3.83, 3 Tm 3.50-3.72
Sm5 0.3505 0.2270 0.7564  5 Tm 3.23-3.61, 2 Sm 3.53-3.56
Sm6 0.4222 0.1012 0.3459  7 Sm 3.45-3.83, 3 Tm 3.50-3.72
Sm7 0.5778 0.8988 0.6541  7 Sm 3.45-3.83, 3 Tm 3.50-3.72
Sm8 0.6495 0.7730 0.2436  5 Tm 3.23-3.61, 2 Sm 3.53-3.56
Sm9 0.6541 0.5778 0.8988  7 Sm 3.45-3.83, 3 Tm 3.50-3.72
Sm10 0.7564 0.3505 0.2270  5 Tm 3.23-3.61, 2 Sm 3.53-3.56
Sm11 0.7730 0.2436 0.6495  5 Tm 3.23-3.61, 2 Sm 3.53-3.56
Sm12 0.8988 0.6541 0.5778  7 Sm 3.45-3.83, 3 Tm 3.50-3.72
Tm1 0.0044 0.3631 0.8834  5 Sm 3.23-3.61, 1 Tm 3.24, 1 Tb 3.28
Tm2 0.1166 0.9956 0.6369  5 Sm 3.23-3.61, 1 Tm 3.24, 1 Tb 3.28
Tm3 0.3631 0.8834 0.0044  5 Sm 3.23-3.61, 1 Tm 3.24, 1 Tb 3.28
Tm4 0.5000 0.5000 0.5000  6 Sm 3.44
Tm5 0.6369 0.1166 0.9956  5 Sm 3.23-3.61, 1 Tm 3.24, 1 Tb 3.28
Tm6 0.8834 0.0044 0.3631  5 Sm 3.23-3.61, 1 Tm 3.24, 1 Tb 3.28
Tm7 0.9956 0.6369 0.1166  5 Sm 3.23-3.61, 1 Tm 3.24, 1 Tb 3.28

Summary:
ρ: 7803 kg/m3
Calculated formation energy: 0.2316 eV per atom
D(E_F): 37.85 states/eV/f.u.
Energy: -87.93 eV/cell
Total magnetization: 0.0 μB per formula unit

***

No. 3
A plane-wave DFT calculation with GGA-PBE was carried out for a relaxed structure of Tb3Sm4Tm2.

Cell: 7.1280 8.7419 9.6556 Å, 103.05 90.05 90.04°
Last column: nearest neighbours and their distance in Å.
Fractional coordinates of all 18 atoms:
Tb1 0.0013 0.3514 0.2122  7 Sm 3.55-3.84, 2 Tm 3.58, 4 Tb 3.67-3.85
Tb2 0.2508 0.0013 0.9990  3 Tm 3.34-3.61, 5 Sm 3.37-3.74, 3 Tb 3.55-3.73
Tb3 0.2505 0.3078 0.5342  3 Tm 3.36-3.64, 6 Sm 3.53-3.65, 1 Tb 3.67
Tb4 0.7495 0.6922 0.4658  3 Tm 3.36-3.64, 6 Sm 3.53-3.65, 1 Tb 3.67
Tb5 0.7492 0.9987 0.0010  3 Tm 3.34-3.61, 5 Sm 3.37-3.74, 3 Tb 3.55-3.73
Tb6 0.9987 0.6486 0.7878  7 Sm 3.55-3.84, 2 Tm 3.58, 4 Tb 3.67-3.85
Sm1 0.0003 0.0228 0.6837  4 Sm 3.47-3.66, 3 Tm 3.48-3.57, 5 Tb 3.57-3.64
Sm2 0.9997 0.9772 0.3163  4 Sm 3.47-3.66, 3 Tm 3.48-3.57, 5 Tb 3.57-3.64
Sm3 0.2493 0.6648 0.1141  4 Tm 3.19-3.57, 2 Tb 3.37-3.56, 2 Sm 3.39-3.47
Sm4 0.2502 0.6899 0.4698  4 Sm 3.39-3.66, 4 Tb 3.53-3.64, 2 Tm 3.63-3.64
Sm5 0.4994 0.3493 0.2145  6 Tb 3.55-3.84, 3 Tm 3.59-3.63, 4 Sm 3.60-3.85
Sm6 0.5006 0.6507 0.7855  6 Tb 3.55-3.84, 3 Tm 3.59-3.63, 4 Sm 3.60-3.85
Sm7 0.7498 0.3101 0.5302  4 Sm 3.39-3.66, 4 Tb 3.53-3.64, 2 Tm 3.63-3.64
Sm8 0.7507 0.3352 0.8859  4 Tm 3.19-3.57, 2 Tb 3.37-3.56, 2 Sm 3.39-3.47
Tm1 0.2510 0.3365 0.8876  4 Sm 3.19-3.57, 2 Tb 3.34-3.36, 1 Tm 3.48
Tm2 0.4994 0.9749 0.3183  2 Tm 3.44-3.48, 6 Sm 3.46-3.64, 4 Tb 3.59-3.64
Tm3 0.5006 0.0251 0.6817  2 Tm 3.44-3.48, 6 Sm 3.46-3.64, 4 Tb 3.59-3.64
Tm4 0.7490 0.6635 0.1124  4 Sm 3.19-3.57, 2 Tb 3.34-3.36, 1 Tm 3.48

Summary:
ρ: 8024 kg/m3
Calculated formation energy: 0.0314 eV per atom
D(E_F): 13.23 states/eV/f.u.
Energy: -82.86 eV/cell
Total magnetization: 0.0 μB per formula unit

***

No. 4
A plane-wave DFT calculation with GGA-PBE was carried out for a relaxed structure of TbSm2Tm5.

Cell: 9.4270 9.4270 6.4627 Å, 97.29 97.29 62.41°
Last column: nearest neighbours and their distance in Å.
Fractional coordinates of all 16 atoms:
Tb1 0.0000 0.5000 0.0000  2 Sm 2.98
Tb2 0.5000 0.0000 0.5000  2 Sm 2.98
Sm1 0.1663 0.6777 0.8834  1 Tb 2.98, 2 Tm 3.18-3.30, 1 Sm 3.25
Sm2 0.3223 0.8337 0.6166  1 Tb 2.98, 2 Tm 3.18-3.30, 1 Sm 3.25
Sm3 0.6777 0.1663 0.3834  1 Tb 2.98, 2 Tm 3.18-3.30, 1 Sm 3.25
Sm4 0.8337 0.3223 0.1166  1 Tb 2.98, 2 Tm 3.18-3.30, 1 Sm 3.25
Tm1 0.0087 0.1918 0.6454  4 Sm 3.30-3.70, 1 Tb 3.44, 5 Tm 3.60-3.69
Tm2 0.1918 0.0087 0.1454  4 Sm 3.30-3.70, 1 Tb 3.44, 5 Tm 3.60-3.69
Tm3 0.2158 0.3912 0.4777  2 Tb 3.42-3.46, 1 Sm 3.43, 7 Tm 3.60-3.70
Tm4 0.3912 0.2158 0.9777  2 Tb 3.42-3.46, 1 Sm 3.43, 7 Tm 3.60-3.70
Tm5 0.4433 0.5567 0.2500  4 Sm 3.18-3.46, 2 Tm 3.42
Tm6 0.5567 0.4433 0.7500  4 Sm 3.18-3.46, 2 Tm 3.42
Tm7 0.6088 0.7842 0.0223  2 Tb 3.42-3.46, 1 Sm 3.43, 7 Tm 3.60-3.70
Tm8 0.7842 0.6088 0.5223  2 Tb 3.42-3.46, 1 Sm 3.43, 7 Tm 3.60-3.70
Tm9 0.8082 0.9913 0.8546  4 Sm 3.30-3.70, 1 Tb 3.44, 5 Tm 3.60-3.69
Tm10 0.9913 0.8082 0.3546  4 Sm 3.30-3.70, 1 Tb 3.44, 5 Tm 3.60-3.69

Summary:
ρ: 8605 kg/m3
Calculated formation energy: 0.1746 eV per atom
D(E_F): 11.99 states/eV/f.u.
Energy: -70.06 eV/cell
Total magnetization: 0.0 μB per formula unit